VASP calculation (PBE) on Pa2As2PdN2 after structural relaxation.

## Properties
Formation energy from raw total energies: -543 kJ/mol of formula units
Space-group type: P-3m1, No. 164

Cell lengths 3.867, 3.867, 11.552 Å; angles 90.00, 90.00, 120.00 degrees
Fractional coordinates of all 7 atoms:
Pa  0.667  0.333  0.372
Pa  0.333  0.667  0.628
As  0.000  0.000  0.206
As  0.000  0.000  0.794
N  0.333  0.667  0.427
N  0.667  0.333  0.573
Pd  0.000  0.000  0.000

---

VASP calculation (PBE) on PmPa2AsN5 after structural relaxation.

## Properties
Formation energy from raw total energies: -838 kJ/mol of formula units
Space-group type: P4/mbm, No. 127

Cell lengths 5.840, 6.602, 6.602 Å; angles 90.00, 90.00, 90.00 degrees
Fractional coordinates of all 18 atoms:
As  0.000  0.500  0.000
As  0.000  0.000  0.500
Pa  0.500  0.829  0.671
Pa  0.500  0.329  0.829
Pa  0.500  0.171  0.329
Pa  0.500  0.671  0.171
N  0.255  0.654  0.846
N  0.500  0.000  0.000
N  0.745  0.654  0.846
N  0.745  0.154  0.654
N  0.745  0.346  0.154
N  0.500  0.500  0.500
N  0.255  0.846  0.346
N  0.255  0.346  0.154
N  0.745  0.846  0.346
N  0.255  0.154  0.654
Pm  0.000  0.500  0.500
Pm  0.000  0.000  0.000

---

VASP calculation (PBE) on PmPaAsN2 after structural relaxation.

## Properties
Formation energy from raw total energies: -663 kJ/mol of formula units
Space-group type: I4mm, No. 107

Cell lengths 3.915, 3.915, 6.990 Å; angles 106.26, 106.26, 90.00 degrees
Fractional coordinates of all 5 atoms:
N  0.741  0.241  0.483
N  0.241  0.741  0.483
Pa  0.166  0.166  0.332
As  0.506  0.506  0.013
Pm  0.845  0.845  0.689

---

VASP calculation (PBE) on PrPaAsN after structural relaxation.

## Properties
Formation energy from raw total energies: -509 kJ/mol of formula units
Space-group type: R-3m, No. 166

Cell lengths 3.947, 3.947, 13.950 Å; angles 81.87, 81.87, 60.00 degrees
Fractional coordinates of all 8 atoms:
N  0.686  0.686  0.941
N  0.314  0.314  0.059
As  0.919  0.919  0.242
As  0.081  0.081  0.758
Pa  0.632  0.632  0.105
Pa  0.368  0.368  0.895
Pr  0.207  0.207  0.380
Pr  0.793  0.793  0.620

---

VASP calculation (PBE) on Pr2PaAsN5 after structural relaxation.

## Properties
Formation energy from raw total energies: -805 kJ/mol of formula units
Space-group type: Cmc2_1, No. 36

Cell lengths 3.590, 7.530, 10.486 Å; angles 90.00, 90.00, 103.79 degrees
Fractional coordinates of all 18 atoms:
N  0.033  0.066  0.016
N  0.493  0.986  0.779
N  0.654  0.307  0.508
N  0.291  0.581  0.662
N  0.346  0.693  0.008
N  0.327  0.653  0.383
N  0.673  0.347  0.883
N  0.709  0.419  0.162
N  0.507  0.014  0.279
N  0.967  0.934  0.516
Pa  0.799  0.598  0.527
Pa  0.201  0.402  0.027
Pr  0.871  0.742  0.830
Pr  0.129  0.258  0.330
Pr  0.890  0.780  0.181
Pr  0.110  0.220  0.681
As  0.542  0.085  0.938
As  0.458  0.915  0.438

---

VASP calculation (PBE) on Pr2PaAs2N2 after structural relaxation.

## Properties
Formation energy from raw total energies: -843 kJ/mol of formula units
Space-group type: I4/mmm, No. 139

Cell lengths 4.375, 4.375, 8.471 Å; angles 104.97, 104.97, 90.00 degrees
Fractional coordinates of all 7 atoms:
Pr  0.624  0.624  0.248
Pr  0.376  0.376  0.752
N  0.500  0.000  0.000
N  0.000  0.500  0.000
Pa  0.000  0.000  0.000
As  0.815  0.815  0.631
As  0.185  0.185  0.369

---

VASP calculation (PBE) on PrPa2AsN5 after structural relaxation.

## Properties
Formation energy from raw total energies: -853 kJ/mol of formula units
Space-group type: P4/mbm, No. 127

Cell lengths 5.917, 6.603, 6.603 Å; angles 90.00, 90.00, 90.00 degrees
Fractional coordinates of all 18 atoms:
Pa  0.500  0.671  0.171
Pa  0.500  0.329  0.829
Pa  0.500  0.829  0.671
Pa  0.500  0.171  0.329
N  0.258  0.153  0.653
N  0.258  0.653  0.847
N  0.742  0.847  0.347
N  0.742  0.653  0.847
N  0.742  0.347  0.153
N  0.258  0.347  0.153
N  0.742  0.153  0.653
N  0.258  0.847  0.347
N  0.500  0.500  0.500
N  0.500  0.000  0.000
As  0.000  0.000  0.500
As  0.000  0.500  0.000
Pr  0.000  0.000  0.000
Pr  0.000  0.500  0.500

---

VASP calculation (PBE) on PaAsPtN after structural relaxation.

## Properties
Formation energy from raw total energies: -370 kJ/mol of formula units
Space-group type: P4/nmm, No. 129

Cell lengths 4.209, 4.209, 7.764 Å; angles 90.00, 90.00, 90.00 degrees
Fractional coordinates of all 8 atoms:
Pt  0.500  0.000  0.681
Pt  0.000  0.500  0.319
N  0.000  0.000  0.000
N  0.500  0.500  0.000
As  0.000  0.000  0.500
As  0.500  0.500  0.500
Pa  0.000  0.500  0.870
Pa  0.500  0.000  0.130

---

VASP calculation (PBE) on PuPaAsN2 after structural relaxation.

## Properties
Formation energy from raw total energies: -653 kJ/mol of formula units
Space-group type: I4mm, No. 107

Cell lengths 3.837, 3.837, 6.566 Å; angles 106.99, 106.99, 90.00 degrees
Fractional coordinates of all 5 atoms:
Pu  0.850  0.850  0.700
N  0.748  0.248  0.495
N  0.248  0.748  0.495
As  0.502  0.502  0.003
Pa  0.153  0.153  0.307

---

VASP calculation (PBE) on Pu2Pa4As3N2 after structural relaxation.

## Properties
Formation energy from raw total energies: -994 kJ/mol of formula units
Space-group type: I4/mmm, No. 139

Cell lengths 4.582, 4.582, 12.099 Å; angles 100.91, 100.91, 90.00 degrees
Fractional coordinates of all 11 atoms:
Pa  0.916  0.416  0.832
Pa  0.584  0.084  0.168
Pa  0.084  0.584  0.168
Pa  0.416  0.916  0.832
Pu  0.699  0.699  0.397
Pu  0.301  0.301  0.603
N  0.589  0.589  0.179
N  0.411  0.411  0.821
As  0.828  0.828  0.656
As  0.000  0.000  0.000
As  0.172  0.172  0.344

---

VASP calculation (PBE) on PuPaAsN after structural relaxation.

## Properties
Formation energy from raw total energies: -448 kJ/mol of formula units
Space-group type: P4/nmm, No. 129

Cell lengths 3.972, 3.972, 9.741 Å; angles 90.00, 90.00, 90.00 degrees
Fractional coordinates of all 8 atoms:
As  0.500  0.000  0.728
As  0.000  0.500  0.272
Pa  0.000  0.500  0.879
Pa  0.500  0.000  0.121
N  0.000  0.000  0.000
N  0.500  0.500  0.000
Pu  0.500  0.500  0.500
Pu  0.000  0.000  0.500

---

VASP calculation (PBE) on RbPa2AsN5 after structural relaxation.

## Properties
Formation energy from raw total energies: -583 kJ/mol of formula units
Space-group type: I4/mcm, No. 140

Cell lengths 6.774, 6.774, 7.419 Å; angles 117.16, 117.16, 90.00 degrees
Fractional coordinates of all 18 atoms:
Pa  0.191  0.309  0.000
Pa  0.809  0.691  0.000
Pa  0.691  0.191  0.000
Pa  0.309  0.809  0.000
N  0.269  0.769  0.267
N  0.769  0.998  0.267
N  0.000  0.000  0.000
N  0.231  0.002  0.733
N  0.731  0.231  0.733
N  0.500  0.500  0.000
N  0.998  0.498  0.267
N  0.502  0.731  0.733
N  0.498  0.269  0.267
N  0.002  0.502  0.733
As  0.250  0.750  0.500
As  0.750  0.250  0.500
Rb  0.750  0.750  0.500
Rb  0.250  0.250  0.500

---

Copy entry 7 word for word.
VASP calculation (PBE) on PrPa2AsN5 after structural relaxation.

## Properties
Formation energy from raw total energies: -853 kJ/mol of formula units
Space-group type: P4/mbm, No. 127

Cell lengths 5.917, 6.603, 6.603 Å; angles 90.00, 90.00, 90.00 degrees
Fractional coordinates of all 18 atoms:
Pa  0.500  0.671  0.171
Pa  0.500  0.329  0.829
Pa  0.500  0.829  0.671
Pa  0.500  0.171  0.329
N  0.258  0.153  0.653
N  0.258  0.653  0.847
N  0.742  0.847  0.347
N  0.742  0.653  0.847
N  0.742  0.347  0.153
N  0.258  0.347  0.153
N  0.742  0.153  0.653
N  0.258  0.847  0.347
N  0.500  0.500  0.500
N  0.500  0.000  0.000
As  0.000  0.000  0.500
As  0.000  0.500  0.000
Pr  0.000  0.000  0.000
Pr  0.000  0.500  0.500

---

Repeat the seventh record exactly.
VASP calculation (PBE) on PrPa2AsN5 after structural relaxation.

## Properties
Formation energy from raw total energies: -853 kJ/mol of formula units
Space-group type: P4/mbm, No. 127

Cell lengths 5.917, 6.603, 6.603 Å; angles 90.00, 90.00, 90.00 degrees
Fractional coordinates of all 18 atoms:
Pa  0.500  0.671  0.171
Pa  0.500  0.329  0.829
Pa  0.500  0.829  0.671
Pa  0.500  0.171  0.329
N  0.258  0.153  0.653
N  0.258  0.653  0.847
N  0.742  0.847  0.347
N  0.742  0.653  0.847
N  0.742  0.347  0.153
N  0.258  0.347  0.153
N  0.742  0.153  0.653
N  0.258  0.847  0.347
N  0.500  0.500  0.500
N  0.500  0.000  0.000
As  0.000  0.000  0.500
As  0.000  0.500  0.000
Pr  0.000  0.000  0.000
Pr  0.000  0.500  0.500

---

What is the formula in the first record? Pa2As2PdN2